Record 1
Here is an optimized crystal structure of Sr2FeMo from Alexandria. Energies are from PBE.

Cell lengths 3.114, 3.114, 9.939 Å; angles 90.00, 90.00, 89.95 degrees
Atoms (fractional coordinates):
1 Fe 0.500 0.500 0.250
2 Mo 0.500 0.500 0.750
3 Sr 0.000 0.000 0.007
4 Sr 0.000 0.000 0.493

Properties
For the offset from the most stable computed form, the calculation gives 567 meV/atom. Its raw total energy is -4.53 eV per atom. The space-group type is P4/mmm (123).

Record 2
Here is an optimized crystal structure of Ba3NbHg from Alexandria. Energies are from PBE.

Cell lengths 6.098, 6.098, 6.098 Å; angles 90.00, 90.00, 90.00 degrees
Atoms (fractional coordinates):
1 Nb 0.000 0.000 0.000
2 Hg 0.500 0.500 0.500
3 Ba 0.000 0.500 0.000
4 Ba 0.000 0.000 0.500
5 Ba 0.500 0.000 0.000

Properties
For the offset from the most stable computed form, the calculation gives 0 meV/atom. Its raw total energy is -2.63 eV per atom. The space-group type is Pm-3m (221).

Record 3
Here is an optimized crystal structure of AcBe2AgAu5 from Alexandria. Energies are from PBE.

Cell lengths 4.808, 4.808, 7.501 Å; angles 90.00, 90.00, 90.00 degrees
Atoms (fractional coordinates):
1 Ac 0.000 0.000 0.500
2 Be 0.500 0.500 0.177
3 Be 0.500 0.500 0.823
4 Ag 0.000 0.000 0.000
5 Au 0.000 0.500 0.202
6 Au 0.500 0.000 0.202
7 Au 0.000 0.500 0.798
8 Au 0.500 0.000 0.798
9 Au 0.500 0.500 0.500

Properties
Its raw total energy is -3.66 eV per atom. The space-group type is P4/mmm (123).

Mass density (g cm⁻³)
5.64; 5.17; 12.81
Formation enthalpy at 0 K (eV/atom)
1.137; 0.595; -0.237
M_tot (Bohr magnetons per cell)
2.52; 0.00; 0.00